No. 1
Th2GaW, relaxed, DFT PBE; energy relative to the elements = 0.65 eV/atom; total energy = -7.060 eV/atom; DOS(E_F) = 3.073 states/eV/f.u.
1.0
1.620 0.935 10.861
-1.620 0.935 10.861
0.000 -1.871 10.861
Th Ga W
2 1 1
Direct
0.087 0.087 0.087
0.913 0.913 0.913
0.500 0.500 0.500
0.000 0.000 0.000

=====

No. 2
YTh2Ga, relaxed, DFT PBE; energy relative to the elements = 0.12 eV/atom; distance to the lowest polymorph of the same formula = 0.294 eV/atom; total energy = -5.967 eV/atom; DOS(E_F) = 5.336 states/eV/f.u.
1.0
1.704 0.984 11.713
-1.704 0.984 11.713
0.000 -1.968 11.713
Y Th Ga
1 2 1
Direct
0.000 0.000 0.000
0.095 0.095 0.095
0.905 0.905 0.905
0.500 0.500 0.500

=====

No. 3
YThGa6, relaxed, DFT PBE; energy relative to the elements = -0.53 eV/atom; total energy = -4.537 eV/atom; DOS(E_F) = 2.883 states/eV/f.u.
1.0
6.376 0.000 0.000
-3.188 5.522 0.000
0.000 0.000 4.620
Y Th Ga
1 1 6
Direct
0.000 0.000 0.000
0.333 0.667 0.500
0.373 0.187 0.500
0.524 0.048 0.000
0.524 0.476 0.000
0.813 0.187 0.500
0.813 0.627 0.500
0.952 0.476 0.000

=====

No. 4
YTh2Ga, relaxed, DFT PBE; energy relative to the elements = -0.12 eV/atom; distance to the lowest polymorph of the same formula = 0.058 eV/atom; total energy = -6.203 eV/atom; DOS(E_F) = 5.702 states/eV/f.u.
1.0
4.010 0.000 0.000
0.000 4.010 0.000
0.000 0.000 7.145
Y Th Ga
1 2 1
Direct
0.000 0.000 0.000
0.500 0.500 0.287
0.500 0.500 0.713
0.000 0.000 0.500

=====

No. 5
YThGa, relaxed, DFT PBE; energy relative to the elements = -0.13 eV/atom; distance to the lowest polymorph of the same formula = 0.155 eV/atom; total energy = -5.763 eV/atom; DOS(E_F) = 3.528 states/eV/f.u.
1.0
5.022 0.000 0.000
-2.511 4.349 0.000
0.000 0.000 3.778
Y Th Ga
1 1 1
Direct
0.000 0.000 0.000
0.333 0.667 0.466
0.667 0.333 0.820

=====

No. 6
Y2ThGa6, relaxed, DFT PBE; energy relative to the elements = -0.65 eV/atom; total energy = -4.927 eV/atom; DOS(E_F) = 5.589 states/eV/f.u.
1.0
7.342 0.000 0.000
-3.671 6.358 0.000
0.000 0.000 4.171
Y Th Ga
2 1 6
Direct
0.333 0.667 0.000
0.667 0.333 0.000
0.000 0.000 0.000
0.000 0.335 0.500
0.000 0.665 0.500
0.335 0.000 0.500
0.335 0.335 0.500
0.665 0.000 0.500
0.665 0.665 0.500

=====

No. 7
YTh2Ga2, relaxed, DFT PBE; energy relative to the elements = -0.47 eV/atom; total energy = -5.941 eV/atom; DOS(E_F) = 4.574 states/eV/f.u.
1.0
7.810 0.000 0.000
0.000 7.810 0.000
0.000 0.000 4.400
Y Th Ga
2 4 4
Direct
0.000 0.000 0.000
0.500 0.500 0.000
0.174 0.326 0.500
0.326 0.826 0.500
0.674 0.174 0.500
0.826 0.674 0.500
0.121 0.621 0.000
0.379 0.121 0.000
0.621 0.879 0.000
0.879 0.379 0.000

=====

No. 8
Y2ThGa4, relaxed, DFT PBE; energy relative to the elements = -0.67 eV/atom; total energy = -5.302 eV/atom; DOS(E_F) = 4.497 states/eV/f.u.
1.0
-2.076 2.157 9.168
2.076 -2.157 9.168
2.076 2.157 -9.168
Y Th Ga
2 1 4
Direct
0.184 0.184 0.000
0.816 0.816 0.000
0.000 0.500 0.500
0.352 0.352 0.000
0.432 0.932 0.500
0.568 0.068 0.500
0.648 0.648 0.000

=====

No. 9
YThGa, relaxed, DFT PBE; energy relative to the elements = 0.15 eV/atom; distance to the lowest polymorph of the same formula = 0.430 eV/atom; total energy = -5.487 eV/atom; DOS(E_F) = 4.429 states/eV/f.u.
1.0
-2.086 2.086 11.668
2.086 -2.086 11.668
2.086 2.086 -11.668
Y Th Ga
2 2 2
Direct
0.079 0.079 0.000
0.921 0.921 0.000
0.329 0.329 0.000
0.671 0.671 0.000
0.202 0.202 0.000
0.798 0.798 0.000

=====

No. 10
YThGa, relaxed, DFT PBE; energy relative to the elements = -0.28 eV/atom; distance to the lowest polymorph of the same formula = 0.000 eV/atom; total energy = -5.918 eV/atom; DOS(E_F) = 3.462 states/eV/f.u.
1.0
-1.763 1.763 6.613
1.763 -1.763 6.613
1.763 1.763 -6.613
Y Th Ga
1 1 1
Direct
0.000 0.000 0.000
0.708 0.708 0.000
0.360 0.360 0.000

=====

No. 11
YTh2Ga, relaxed, DFT PBE; energy relative to the elements = -0.18 eV/atom; distance to the lowest polymorph of the same formula = 0.000 eV/atom; total energy = -6.261 eV/atom; DOS(E_F) = 4.172 states/eV/f.u.
1.0
4.746 0.000 0.000
0.000 4.746 0.000
0.000 0.000 4.935
Y Th Ga
1 2 1
Direct
0.000 0.000 0.000
0.000 0.500 0.500
0.500 0.000 0.500
0.500 0.500 0.000

=====

No. 12
YThZn2Ga2, relaxed, DFT PBE; energy relative to the elements = -0.53 eV/atom; total energy = -4.279 eV/atom; DOS(E_F) = 2.485 states/eV/f.u.
1.0
4.405 0.000 0.000
-2.203 3.815 0.000
0.000 0.000 7.578
Y Th Zn Ga
1 1 2 2
Direct
0.000 0.000 0.000
0.000 0.000 0.500
0.333 0.667 0.236
0.667 0.333 0.764
0.333 0.667 0.761
0.667 0.333 0.239

=====

No. 13
ThZn11Ga, relaxed, DFT PBE; energy relative to the elements = -0.14 eV/atom; total energy = -2.022 eV/atom; DOS(E_F) = 4.504 states/eV/f.u.
1.0
2.628 -6.393 0.000
2.628 6.393 0.000
-2.585 0.000 6.336
Th Zn Ga
1 11 1
Direct
0.000 0.000 0.000
0.000 0.500 0.000
0.005 0.364 0.355
0.286 0.505 0.784
0.364 0.005 0.355
0.495 0.714 0.216
0.500 0.000 0.000
0.500 0.500 0.500
0.505 0.286 0.784
0.636 0.995 0.645
0.714 0.495 0.216
0.995 0.636 0.645
0.000 0.000 0.500

=====

No. 14
ThZn2Ga, relaxed, DFT PBE; energy relative to the elements = -0.34 eV/atom; total energy = -3.589 eV/atom; DOS(E_F) = 2.171 states/eV/f.u.
1.0
6.726 0.000 0.000
0.000 2.273 5.275
0.000 -2.273 5.275
Th Zn Ga
2 4 2
Direct
0.000 0.000 0.000
0.500 0.207 0.207
0.000 0.299 0.299
0.311 0.482 0.482
0.500 0.911 0.911
0.689 0.482 0.482
0.191 0.710 0.710
0.809 0.710 0.710

=====

No. 15
ThZn3Ga, relaxed, DFT PBE; energy relative to the elements = -0.38 eV/atom; total energy = -3.236 eV/atom; DOS(E_F) = 1.047 states/eV/f.u.
1.0
0.000 3.003 5.269
3.000 0.000 5.269
3.000 3.003 0.000
Th Zn Ga
1 3 1
Direct
0.000 0.000 0.000
0.251 0.251 0.249
0.380 0.380 0.620
0.751 0.751 0.749
0.612 0.612 0.388

=====

No. 16
Th3Zn2Ga3, relaxed, DFT PBE; energy relative to the elements = -0.46 eV/atom; total energy = -4.699 eV/atom; DOS(E_F) = 6.523 states/eV/f.u.
1.0
2.218 -5.481 0.000
2.218 5.481 0.000
0.000 0.000 14.916
Th Zn Ga
6 4 6
Direct
0.084 0.916 0.612
0.084 0.916 0.888
0.366 0.634 0.750
0.634 0.366 0.250
0.916 0.084 0.112
0.916 0.084 0.388
0.211 0.789 0.097
0.211 0.789 0.403
0.789 0.211 0.597
0.789 0.211 0.903
0.344 0.656 0.250
0.386 0.614 0.540
0.386 0.614 0.960
0.614 0.386 0.040
0.614 0.386 0.460
0.656 0.344 0.750

=====

No. 17
Th2Zn5Ga, relaxed, DFT PBE; energy relative to the elements = -0.36 eV/atom; total energy = -3.394 eV/atom; DOS(E_F) = 4.782 states/eV/f.u.
1.0
2.210 -8.146 0.000
2.210 8.146 0.000
0.000 0.000 8.916
Th Zn Ga
4 10 2
Direct
0.000 0.000 0.000
0.000 0.000 0.500
0.203 0.797 0.750
0.797 0.203 0.250
0.186 0.814 0.107
0.186 0.814 0.393
0.349 0.651 0.019
0.349 0.651 0.481
0.404 0.596 0.750
0.596 0.404 0.250
0.651 0.349 0.519
0.651 0.349 0.981
0.814 0.186 0.607
0.814 0.186 0.893
0.443 0.557 0.250
0.557 0.443 0.750

=====

No. 18
Th3Zn3Ga, relaxed, DFT PBE; energy relative to the elements = -0.29 eV/atom; total energy = -4.444 eV/atom; DOS(E_F) = 5.480 states/eV/f.u.
1.0
5.426 -2.265 0.000
5.426 2.265 0.000
-4.098 0.000 13.397
Th Zn Ga
6 6 2
Direct
0.050 0.050 0.384
0.092 0.092 0.911
0.254 0.254 0.212
0.746 0.746 0.788
0.908 0.908 0.089
0.950 0.950 0.616
0.371 0.371 0.455
0.390 0.390 0.933
0.449 0.449 0.765
0.551 0.551 0.235
0.610 0.610 0.067
0.629 0.629 0.545
0.243 0.243 0.614
0.757 0.757 0.386

=====

No. 19
ThZn2Ga2, relaxed, DFT PBE; energy relative to the elements = -0.41 eV/atom; total energy = -3.615 eV/atom; DOS(E_F) = 1.799 states/eV/f.u.
1.0
4.280 0.000 0.000
0.000 4.280 0.000
0.000 0.000 10.463
Th Zn Ga
2 4 4
Direct
0.250 0.250 0.249
0.750 0.750 0.751
0.250 0.250 0.633
0.250 0.750 0.000
0.750 0.250 0.000
0.750 0.750 0.367
0.250 0.250 0.866
0.250 0.750 0.500
0.750 0.250 0.500
0.750 0.750 0.134

=====

No. 20
Th2Zn3Ga5, relaxed, DFT PBE; energy relative to the elements = -0.37 eV/atom; total energy = -3.750 eV/atom; DOS(E_F) = 3.088 states/eV/f.u.
1.0
4.351 0.000 0.000
0.000 4.351 0.000
0.000 0.000 10.277
Th Zn Ga
2 3 5
Direct
0.000 0.500 0.247
0.500 0.000 0.753
0.000 0.000 0.000
0.000 0.500 0.874
0.500 0.000 0.126
0.000 0.000 0.500
0.000 0.500 0.639
0.500 0.000 0.361
0.500 0.500 0.000
0.500 0.500 0.500